A plane-wave DFT calculation with PBE was carried out for ThSc2 after structural relaxation.

Its raw total energy is -6.655 eV per atom. The value obtained for the calculated formation energy is 0.04 eV/atom. The calculation puts the total magnetic moment at 0.00 μB/f.u.

The structure belongs to space group I4/mmm (No. 139); the cell edges are 3.425, 3.425 and 13.912 Å and the angles 90.00°, 90.00° and 90.00°. The inequivalent atoms are Th at (0.000, 0.000, 0.000) and Sc at (0.000, 0.000, 0.333).